P | Density functional theory data (PBE) for a relaxed structure of MnTcAu2.

Cell lengths 6.281, 6.281, 6.281 Å; angles 90.00, 90.00, 90.00 degrees
Space group Fm-3m (No. 225)
Unique sites:
1 Mn 0.000 0.000 0.000
2 Tc 0.000 0.000 0.500
3 Au 0.250 0.250 0.250

Computed properties:
* crystal system: cubic
* density: 14657 kg/m3
* magnetization: 0.001 Bohr magnetons per cell
* volume: 247.82 Å³/cell

=====

Q | Density functional theory data (PBE) for a relaxed structure of MnTcAu2.

Cell lengths 2.818, 2.818, 8.161 Å; angles 90.00, 90.00, 90.00 degrees
Space group P4/mmm (No. 123)
Unique sites:
1 Mn 0.000 0.000 0.000
2 Tc 0.000 0.000 0.500
3 Au 0.500 0.500 0.244

Computed properties:
* crystal system: tetragonal
* density: 14017 kg/m3
* magnetization: 3.485 Bohr magnetons per cell
* volume: 64.78 Å³/cell

=====

Q: Which of them is the most stable? A: Q.

=====

P | Density functional theory data (PBE) for a relaxed structure of MnTcAu2.

Cell lengths 4.034, 4.034, 7.998 Å; angles 90.00, 90.00, 90.00 degrees
Space group I4/mmm (No. 139)
Unique sites:
1 Mn 0.000 0.000 0.000
2 Tc 0.000 0.000 0.500
3 Au 0.000 0.500 0.250

Computed properties:
* crystal system: tetragonal
* density: 13953 kg/m3
* magnetization: 3.733 Bohr magnetons per cell
* volume: 130.16 Å³/cell

=====

Q | Density functional theory data (PBE) for a relaxed structure of MnTcAu2.

Cell lengths 9.316, 2.872, 4.928 Å; angles 90.00, 102.13, 90.00 degrees
Space group Cm (No. 8)
Unique sites:
1 Mn 0.000 0.000 0.000
2 Tc 0.273 0.000 0.779
3 Au 0.015 0.500 0.523
4 Au 0.252 0.500 0.257

Computed properties:
* crystal system: monoclinic
* density: 14092 kg/m3
* magnetization: 5.575 Bohr magnetons per cell
* volume: 128.88 Å³/cell

=====

R | Density functional theory data (PBE) for a relaxed structure of MnTcAu2.

Cell lengths 4.056, 4.056, 7.850 Å; angles 90.00, 90.00, 90.00 degrees
Space group I-4m2 (No. 119)
Unique sites:
1 Mn 0.000 0.000 0.000
2 Tc 0.000 0.500 0.750
3 Au 0.000 0.000 0.500
4 Au 0.000 0.500 0.250

Computed properties:
* crystal system: tetragonal
* density: 14063 kg/m3
* magnetization: 3.535 Bohr magnetons per cell
* volume: 129.15 Å³/cell

=====

Q: Which of them is the most stable? A: Q.

=====

P | Density functional theory data (PBE) for a relaxed structure of MnTeAu3.

Cell lengths 4.828, 4.828, 4.828 Å; angles 90.00, 90.00, 90.00 degrees
Space group Pm-3m (No. 221)
Unique sites:
1 Mn 0.000 0.000 0.000
2 Te 0.500 0.500 0.500
3 Au 0.000 0.000 0.500

Computed properties:
* crystal system: cubic
* density: 11415 kg/m3
* magnetization: 0.000 Bohr magnetons per cell
* volume: 112.51 Å³/cell

=====

Q | Density functional theory data (PBE) for a relaxed structure of MnTeAu3.

Cell lengths 5.295, 5.295, 5.295 Å; angles 90.00, 90.00, 90.00 degrees
Space group Pm-3m (No. 221)
Unique sites:
1 Mn 0.000 0.000 0.000
2 Te 0.500 0.500 0.500
3 Au 0.000 0.500 0.500

Computed properties:
* crystal system: cubic
* density: 8653 kg/m3
* magnetization: 5.200 Bohr magnetons per cell
* volume: 148.43 Å³/cell

=====

Q: Which of them is the most stable? A: Q.